VASP calculation (PBE-GGA) on an optimized crystal structure of V2HgGe2.

abc: 7.734 7.734 2.776
angles: 90.00 90.00 90.00
Space group P4/mbm (No. 127)
Inequivalent atoms, fractional coordinates:
V: 0.116 0.384 0.000 x4
Hg: 0.000 0.000 0.500 x2
Ge: 0.172 0.672 0.500 x4

Values from the calculation:
Calculated density in g cm⁻³: 9.0
Total magnetization in μB per formula unit: 0.00
Volume in Å³/cell: 166.1
Calculated total energy in eV per atom: -5.421